Record 1
Here is crystalline Y3Zr2NbN6 at its relaxed geometry from Alexandria via LeMat-Bulk. Energies are from PBE.

## Properties
As for the final energy: -9.621 eV/atom. The calculation puts the density of states at the Fermi level at 0.3958 states/eV/atom. As for the space group: C2/m, No. 12.

Cell lengths 5.7457, 5.7457, 5.8221 Å; angles 99.51, 99.51, 119.98 degrees
Closest atoms and distances in Å follow each position.
Sites, in units of the cell vectors:
Y: 0.0000 0.0000 0.0000  6 N 2.41-2.42
Y: 0.3338 0.6662 0.0000  6 N 2.41-2.43
Y: 0.6662 0.3338 0.0000  6 N 2.41-2.43
Zr: 0.1669 0.8331 0.5000  6 N 2.30-2.31
Zr: 0.8331 0.1669 0.5000  6 N 2.30-2.31
Nb: 0.5000 0.5000 0.5000  6 N 2.29-2.31
N: 0.0906 0.4231 0.2694  1 Nb 2.29, 2 Zr 2.30, 3 Y 2.42-2.43
N: 0.2442 0.2442 0.7333  2 Zr 2.31, 1 Nb 2.31, 3 Y 2.41
N: 0.4231 0.0906 0.2694  1 Nb 2.29, 2 Zr 2.30, 3 Y 2.42-2.43
N: 0.5769 0.9094 0.7306  1 Nb 2.29, 2 Zr 2.30, 3 Y 2.42-2.43
N: 0.7558 0.7558 0.2667  2 Zr 2.31, 1 Nb 2.31, 3 Y 2.41
N: 0.9094 0.5769 0.7306  1 Nb 2.29, 2 Zr 2.30, 3 Y 2.42-2.43



Record 2
Here is crystalline Y2ZrNbN4 at its relaxed geometry from Alexandria via LeMat-Bulk. Energies are from PBE.

## Properties
As for the final energy: -9.621 eV/atom. The calculation puts the density of states at the Fermi level at 0.2774 states/eV/atom. As for the space group: P2/m, No. 10.

Cell lengths 5.7291, 3.3008, 5.7993 Å; angles 90.00, 109.26, 90.00 degrees
Closest atoms and distances in Å follow each position.
Sites, in units of the cell vectors:
Y: 0.0000 0.0000 0.0000  6 N 2.42
Y: 0.5000 0.5000 0.0000  6 N 2.40
Zr: 0.0000 0.5000 0.5000  6 N 2.29-2.30
Nb: 0.5000 0.0000 0.5000  6 N 2.28-2.29
N: 0.2451 0.0000 0.7317  1 Nb 2.29, 2 Zr 2.29, 3 Y 2.40-2.42
N: 0.2597 0.5000 0.2706  2 Nb 2.28, 1 Zr 2.30, 3 Y 2.40-2.42
N: 0.7403 0.5000 0.7294  2 Nb 2.28, 1 Zr 2.30, 3 Y 2.40-2.42
N: 0.7549 0.0000 0.2683  1 Nb 2.29, 2 Zr 2.29, 3 Y 2.40-2.42



Record 3
Here is crystalline Y3Zr3NbN8 at its relaxed geometry from Alexandria via LeMat-Bulk. Energies are from PBE.

## Properties
As for the final energy: -9.625 eV/atom. The calculation puts the density of states at the Fermi level at 0.1221 states/eV/atom. As for the space group: R-3m, No. 166.

Cell lengths 6.7102, 6.7102, 6.7102 Å; angles 58.53, 58.53, 58.53 degrees
Closest atoms and distances in Å follow each position.
Sites, in units of the cell vectors:
Y: 0.0000 0.5000 0.5000  6 N 2.40-2.42
Y: 0.5000 0.0000 0.5000  6 N 2.40-2.42
Y: 0.5000 0.5000 0.0000  6 N 2.40-2.42
Zr: 0.0000 0.0000 0.5000  6 N 2.28-2.29
Zr: 0.0000 0.5000 0.0000  6 N 2.28-2.29
Zr: 0.5000 0.0000 0.0000  6 N 2.28-2.29
Nb: 0.5000 0.5000 0.5000  6 N 2.16
N: 0.2444 0.2444 0.2444  3 Zr 2.29, 3 Y 2.40
N: 0.2557 0.7305 0.7305  1 Nb 2.16, 2 Zr 2.28
N: 0.2695 0.2695 0.7443  1 Nb 2.16, 2 Zr 2.28
N: 0.2695 0.7443 0.2695  1 Nb 2.16, 2 Zr 2.28
N: 0.7305 0.2557 0.7305  1 Nb 2.16, 2 Zr 2.28
N: 0.7305 0.7305 0.2557  1 Nb 2.16, 2 Zr 2.28
N: 0.7443 0.2695 0.2695  1 Nb 2.16, 2 Zr 2.28
N: 0.7556 0.7556 0.7556  3 Zr 2.29, 3 Y 2.40



Record 4
Here is crystalline Nb5ZnN at its relaxed geometry from Alexandria via LeMat-Bulk. Energies are from PBE.

## Properties
As for the final energy: -8.877 eV/atom. The calculation puts the density of states at the Fermi level at 0.5710 states/eV/atom. As for the space group: C2/c, No. 15.

Cell lengths 5.4308, 5.4308, 7.7821 Å; angles 96.88, 96.88, 93.70 degrees
Closest atoms and distances in Å follow each position.
Sites, in units of the cell vectors:
Nb: 0.1104 0.6390 0.3699  1 N 2.25
Nb: 0.1107 0.8893 0.7500  2 N 2.13
Nb: 0.1808 0.3576 0.9766  1 N 2.16
Nb: 0.3576 0.1808 0.4766  1 N 2.16
Nb: 0.3610 0.8896 0.1301  1 N 2.25
Nb: 0.6390 0.1104 0.8699  1 N 2.25
Nb: 0.6424 0.8192 0.5234  1 N 2.16
Nb: 0.8192 0.6424 0.0234  1 N 2.16
Nb: 0.8893 0.1107 0.2500  2 N 2.13
Nb: 0.8896 0.3610 0.6301  1 N 2.25
Zn: 0.4492 0.5508 0.7500  7 Nb 2.68-2.88
Zn: 0.5508 0.4492 0.2500  7 Nb 2.68-2.88
N: 0.0000 0.0000 0.0000  6 Nb 2.13-2.25
N: 0.0000 0.0000 0.5000  6 Nb 2.13-2.25



Record 5
Here is crystalline NbZn3N at its relaxed geometry from Alexandria via LeMat-Bulk. Energies are from PBE.

## Properties
As for the final energy: -2.242 eV/atom. The calculation puts the density of states at the Fermi level at 0.8627 states/eV/atom. As for the space group: Pm-3m, No. 221.

Cell lengths 5.0451, 5.0451, 5.0451 Å; angles 90.00, 90.00, 90.00 degrees
Closest atoms and distances in Å follow each position.
Sites, in units of the cell vectors:
Nb: 0.0000 0.0000 0.0000  6 Zn 2.52
Zn: 0.0000 0.0000 0.5000  2 Nb 2.52
Zn: 0.0000 0.5000 0.0000  2 Nb 2.52
Zn: 0.5000 0.0000 0.0000  2 Nb 2.52
N: 0.5000 0.5000 0.5000  12 Zn 3.57



Record 6
Here is crystalline Nb8ZnN2 at its relaxed geometry from Alexandria via LeMat-Bulk. Energies are from PBE.

## Properties
As for the final energy: -8.996 eV/atom. The calculation puts the density of states at the Fermi level at 0.7163 states/eV/atom. As for the space group: C2/m, No. 12.

Cell lengths 7.7378, 7.7378, 4.4804 Å; angles 106.55, 106.55, 43.85 degrees
Closest atoms and distances in Å follow each position.
Sites, in units of the cell vectors:
Nb: 0.1407 0.6597 0.8977  1 N 2.19
Nb: 0.2163 0.2163 0.7163  2 N 2.24
Nb: 0.3403 0.8593 0.1023  1 N 2.19
Nb: 0.3797 0.3797 0.3770  1 N 2.13
Nb: 0.6203 0.6203 0.6230  1 N 2.13
Nb: 0.6597 0.1407 0.8977  1 N 2.19
Nb: 0.7837 0.7837 0.2837  2 N 2.24
Nb: 0.8593 0.3403 0.1023  1 N 2.19
Zn: 0.0000 0.0000 0.5000  10 Nb 2.95-2.98
N: 0.2239 0.2239 0.2237  5 Nb 2.13-2.24
N: 0.7761 0.7761 0.7763  5 Nb 2.13-2.24



Record 7
Here is crystalline Nb2Zn2N at its relaxed geometry from Alexandria via LeMat-Bulk. Energies are from PBE.

## Properties
As for the final energy: -6.509 eV/atom. The calculation puts the density of states at the Fermi level at 0.4454 states/eV/atom. As for the space group: P4/mbm, No. 127.

Cell lengths 5.7379, 5.7379, 4.7463 Å; angles 90.00, 90.00, 90.00 degrees
Closest atoms and distances in Å follow each position.
Sites, in units of the cell vectors:
Nb: 0.1744 0.3256 0.0000  2 N 2.12
Nb: 0.3256 0.8256 0.0000  2 N 2.12
Nb: 0.6744 0.1744 0.0000  2 N 2.12
Nb: 0.8256 0.6744 0.0000  2 N 2.12
Zn: 0.1513 0.6513 0.5000  1 Zn 2.46
Zn: 0.3487 0.1513 0.5000  1 Zn 2.46
Zn: 0.6513 0.8487 0.5000  1 Zn 2.46
Zn: 0.8487 0.3487 0.5000  1 Zn 2.46
N: 0.0000 0.0000 0.0000  4 Nb 2.12
N: 0.5000 0.5000 0.0000  4 Nb 2.12



Record 8
Here is crystalline NbZn4N4 at its relaxed geometry from Alexandria via LeMat-Bulk. Energies are from PBE.

## Properties
As for the final energy: -5.449 eV/atom. The calculation puts the density of states at the Fermi level at 0.2230 states/eV/atom. As for the space group: Cmcm, No. 63.

Cell lengths 5.8692, 5.8692, 6.7025 Å; angles 90.00, 90.00, 86.93 degrees
Closest atoms and distances in Å follow each position.
Sites, in units of the cell vectors:
Nb: 0.1728 0.8272 0.7500  4 N 1.99-2.02
Nb: 0.8272 0.1728 0.2500  4 N 1.99-2.02
Zn: 0.0739 0.6267 0.2500  3 N 2.10-2.19
Zn: 0.3335 0.3335 0.0000  4 N 2.06-2.13
Zn: 0.3335 0.3335 0.5000  4 N 2.06-2.13
Zn: 0.3733 0.9261 0.2500  3 N 2.10-2.19
Zn: 0.6267 0.0739 0.7500  3 N 2.10-2.19
Zn: 0.6665 0.6665 0.0000  4 N 2.06-2.13
Zn: 0.6665 0.6665 0.5000  4 N 2.06-2.13
Zn: 0.9261 0.3733 0.7500  3 N 2.10-2.19
N: 0.1638 0.2273 0.2500  1 Nb 2.02, 3 Zn 2.06-2.10
N: 0.2273 0.1638 0.7500  1 Nb 2.02, 3 Zn 2.06-2.10
N: 0.3032 0.6968 0.0026  1 Nb 1.99, 4 Zn 2.13-2.19
N: 0.3032 0.6968 0.4974  1 Nb 1.99, 4 Zn 2.13-2.19
N: 0.6968 0.3032 0.5026  1 Nb 1.99, 4 Zn 2.13-2.19
N: 0.6968 0.3032 0.9974  1 Nb 1.99, 4 Zn 2.13-2.19
N: 0.7727 0.8362 0.2500  1 Nb 2.02, 3 Zn 2.06-2.10
N: 0.8362 0.7727 0.7500  1 Nb 2.02, 3 Zn 2.06-2.10



Record 9
Here is crystalline NbZnN at its relaxed geometry from Alexandria via LeMat-Bulk. Energies are from PBE.

## Properties
As for the final energy: -6.883 eV/atom. The calculation puts the density of states at the Fermi level at 0.1080 states/eV/atom. As for the space group: I4_1md, No. 109.

Cell lengths 4.0264, 4.0264, 10.2132 Å; angles 90.00, 90.00, 90.00 degrees
Closest atoms and distances in Å follow each position.
Sites, in units of the cell vectors:
Nb: 0.0000 0.0000 0.0000  3 N 2.06-2.13
Nb: 0.0000 0.5000 0.2500  3 N 2.06-2.13
Nb: 0.5000 0.0000 0.7500  3 N 2.06-2.13
Nb: 0.5000 0.5000 0.5000  3 N 2.06-2.13
Zn: 0.0000 0.0000 0.5582  2 N 2.26
Zn: 0.0000 0.5000 0.8082  2 N 2.26
Zn: 0.5000 0.0000 0.3082  2 N 2.26
Zn: 0.5000 0.5000 0.0582  2 N 2.26
N: 0.0000 0.0000 0.2086  3 Nb 2.06-2.13, 2 Zn 2.26
N: 0.0000 0.5000 0.4586  3 Nb 2.06-2.13, 2 Zn 2.26
N: 0.5000 0.0000 0.9586  3 Nb 2.06-2.13, 2 Zn 2.26
N: 0.5000 0.5000 0.7086  3 Nb 2.06-2.13, 2 Zn 2.26



Record 10
Here is crystalline Nb3ZnN at its relaxed geometry from Alexandria via LeMat-Bulk. Energies are from PBE.

## Properties
As for the final energy: -8.358 eV/atom. The calculation puts the density of states at the Fermi level at 1.4696 states/eV/atom. As for the space group: Pm-3m, No. 221.

Cell lengths 4.2584, 4.2584, 4.2584 Å; angles 90.00, 90.00, 90.00 degrees
Closest atoms and distances in Å follow each position.
Sites, in units of the cell vectors:
Nb: 0.0000 0.0000 0.5000  2 N 2.13
Nb: 0.0000 0.5000 0.0000  2 N 2.13
Nb: 0.5000 0.0000 0.0000  2 N 2.13
Zn: 0.5000 0.5000 0.5000  12 Nb 3.01
N: 0.0000 0.0000 0.0000  6 Nb 2.13



Record 11
Here is crystalline Nb6ZnN at its relaxed geometry from Alexandria via LeMat-Bulk. Energies are from PBE.

## Properties
As for the final energy: -8.979 eV/atom. The calculation puts the density of states at the Fermi level at 0.8615 states/eV/atom. As for the space group: P-1, No. 2.

Cell lengths 4.8930, 5.3687, 5.4198 Å; angles 98.27, 108.86, 92.78 degrees
Closest atoms and distances in Å follow each position.
Sites, in units of the cell vectors:
Nb: 0.0677 0.2901 0.1445  1 N 2.22
Nb: 0.2082 0.8503 0.4415  1 N 2.21
Nb: 0.3990 0.4046 0.7333  1 N 2.09
Nb: 0.6010 0.5954 0.2667  1 N 2.09
Nb: 0.7918 0.1497 0.5585  1 N 2.21
Nb: 0.9323 0.7099 0.8555  1 N 2.22
Zn: 0.5000 0.0000 0.0000  8 Nb 2.76-2.93
N: 0.0000 0.5000 0.5000  6 Nb 2.09-2.22



Record 12
Here is crystalline NbZn3N at its relaxed geometry from Alexandria via LeMat-Bulk. Energies are from PBE.

## Properties
As for the final energy: -3.749 eV/atom. The calculation puts the density of states at the Fermi level at 0.7158 states/eV/atom. As for the space group: Pm-3m, No. 221.

Cell lengths 4.1704, 4.1704, 4.1704 Å; angles 90.00, 90.00, 90.00 degrees
Closest atoms and distances in Å follow each position.
Sites, in units of the cell vectors:
Nb: 0.0000 0.0000 0.0000  12 Zn 2.95
Zn: 0.0000 0.5000 0.5000  2 N 2.09
Zn: 0.5000 0.0000 0.5000  2 N 2.09
Zn: 0.5000 0.5000 0.0000  2 N 2.09
N: 0.5000 0.5000 0.5000  6 Zn 2.09